Record 1
DFT (GGA-PBE) results for a geometry-optimized NbTlO3 structure.

CIF file:
```
data_NbTlO3
_cell_length_a 5.4012
_cell_length_b 5.4012
_cell_length_c 13.3821
_cell_angle_alpha 90.00
_cell_angle_beta 90.00
_cell_angle_gamma 60.00
_space_group_name_H-M_alt 'P 1'
_space_group_IT_number 1
_space_group_name_Hall 'P 1'
loop_
_atom_site_label
_atom_site_type_symbol
_atom_site_fract_x
_atom_site_fract_y
_atom_site_fract_z
Nb1 Nb 0.6667 0.6667 0.2500
Nb2 Nb 0.0000 0.0000 0.2500
Nb3 Nb 0.0000 0.0000 0.7500
Nb4 Nb 0.3333 0.3333 0.7500
O1 O 0.7299 0.3333 0.1644
O2 O 0.3333 0.9368 0.1644
O3 O 0.9368 0.7299 0.1644
O4 O 0.3333 0.7299 0.3356
O5 O 0.7299 0.9368 0.3356
O6 O 0.9368 0.3334 0.3356
O7 O 0.6666 0.0632 0.6644
O8 O 0.0632 0.2701 0.6644
O9 O 0.2701 0.6667 0.6644
O10 O 0.2701 0.0632 0.8356
O11 O 0.0632 0.6667 0.8356
O12 O 0.6667 0.2701 0.8356
Tl1 Tl 0.3333 0.3333 0.0560
Tl2 Tl 0.3333 0.3333 0.4440
Tl3 Tl 0.6667 0.6667 0.5560
Tl4 Tl 0.6667 0.6667 0.9440
```

M_tot = 0.00 μB/cell
Total energy = -7.504 eV per atom

***

Record 2
DFT (GGA-PBE) results for a geometry-optimized NbTl2O4 structure.

CIF file:
```
data_NbTl2O4
_cell_length_a 6.9929
_cell_length_b 6.9929
_cell_length_c 6.9929
_cell_angle_alpha 120.00
_cell_angle_beta 90.00
_cell_angle_gamma 120.00
_space_group_name_H-M_alt 'P 1'
_space_group_IT_number 1
_space_group_name_Hall 'P 1'
loop_
_atom_site_label
_atom_site_type_symbol
_atom_site_fract_x
_atom_site_fract_y
_atom_site_fract_z
Nb1 Nb 0.0000 0.0000 0.0000
Nb2 Nb 0.7500 0.5000 0.2500
O1 O 0.1098 0.2196 0.3294
O2 O 0.6402 0.2804 0.3598
O3 O 0.0794 0.7196 0.3598
O4 O 0.6402 0.7196 0.3598
O5 O 0.1098 0.7804 0.8902
O6 O 0.1098 0.2196 0.8902
O7 O 0.6706 0.7804 0.8902
O8 O 0.6402 0.2804 0.9206
Tl1 Tl 0.3750 0.7500 0.1250
Tl2 Tl 0.3750 0.7500 0.6250
Tl3 Tl 0.3750 0.2500 0.6250
Tl4 Tl 0.8750 0.2500 0.6250
```

M_tot = 0.93 μB/cell
Total energy = -6.427 eV per atom